Record 1
Computed, not measured: a geometry-optimized Zr2NiRh structure at the PBE-GGA level of DFT.

a b c (Å): 5.3144 5.3144 5.3144
angles (deg): 136.96 136.96 62.50
With the nearest neighbours (Å) after each atom.
Fractional positions:
Ni (0.5000, 0.5000, 0.0000)  8 Zr 2.76-2.99, 4 Rh 2.99
Rh (0.7500, 0.2500, 0.5000)  8 Zr 2.76-2.99, 4 Ni 2.99
Zr (0.0000, 0.0000, 0.0000)  4 Ni 2.76, 4 Zr 2.99, 4 Rh 2.99
Zr (0.2500, 0.7500, 0.5000)  4 Rh 2.76, 4 Ni 2.99, 4 Zr 2.99

Output
**D(E_F)**: 3.50 states/eV/f.u.
**Formation enthalpy at 0 K**: -409.5 meV per atom
**VASP energy**: -31.9 eV per cell



Record 2
Computed, not measured: a geometry-optimized Na2Cu2O3 structure at the PBE-GGA level of DFT.

a b c (Å): 6.0273 5.5688 5.8178
angles (deg): 90.00 64.56 90.00
With the nearest neighbours (Å) after each atom.
Fractional positions:
Na (0.8973, 0.6705, 0.8267)  3 O 2.30-2.40
Na (0.3973, 0.8295, 0.8267)  3 O 2.30-2.40
Na (0.6027, 0.1705, 0.1733)  3 O 2.30-2.40
Na (0.1027, 0.3295, 0.1733)  3 O 2.30-2.40
Cu (0.5490, 0.3311, 0.6887)  3 O 1.87-1.95
Cu (0.9510, 0.8311, 0.3113)  3 O 1.87-1.95
Cu (0.0490, 0.1689, 0.6887)  3 O 1.87-1.95
Cu (0.4510, 0.6689, 0.3113)  3 O 1.87-1.95
O (0.5000, 0.5000, 0.0000)  2 Cu 1.95
O (0.0000, 0.0000, 0.0000)  2 Cu 1.95
O (0.7596, 0.0742, 0.6577)  2 Cu 1.87-1.90
O (0.7404, 0.5742, 0.3423)  2 Cu 1.87-1.90
O (0.2596, 0.4258, 0.6577)  2 Cu 1.87-1.90
O (0.2404, 0.9258, 0.3423)  2 Cu 1.87-1.90

Output
**D(E_F)**: 2.24 states/eV/f.u.
**Formation energy without anion corrections**: -0.867 eV/atom
**Relative energy among the computed polymorphs**: 0 meV per atom
**VASP energy**: -63.5 eV per cell